Below is a relaxed LiTbNd2Tl4 crystal, with properties calculated at the PBE level. Values from VASP.

```
&SYSTEM
  ibrav = 0, nat = 8, ntyp = 4
/
ATOMIC_SPECIES
Tb 158.93 Tb.upf
Tl 204.38 Tl.upf
Li 6.94 Li.upf
Nd 144.24 Nd.upf
CELL_PARAMETERS angstrom
5.3218 0.0000 0.0000
2.6609 4.6088 0.0000
2.6609 1.5363 9.0234
ATOMIC_POSITIONS crystal
Tb 0.0000 0.0000 0.0000
Tl 0.6248 0.6248 0.1257
Tl 0.8740 0.8740 0.3780
Tl 0.1260 0.1260 0.6220
Tl 0.3752 0.3752 0.8743
Li 0.5000 0.5000 0.5000
Nd 0.7560 0.7560 0.7321
Nd 0.2440 0.2440 0.2679
```

## Properties
DFT total energy	-3.54	eV per atom
volume	221	Å³/f.u.
ΔH_f (0 K)	-0.349	eV/atom
theoretical density	9.543	g/cm³


Below is a relaxed K2ScCrGe crystal, with properties calculated at the PBE level. Values from VASP.

```
&SYSTEM
  ibrav = 0, nat = 5, ntyp = 4
/
ATOMIC_SPECIES
K 39.10 K.upf
Sc 44.96 Sc.upf
Cr 52.00 Cr.upf
Ge 72.64 Ge.upf
CELL_PARAMETERS angstrom
-4.1778 3.6179 3.1361
2.0380 -1.5805 4.5382
4.0951 4.8567 -0.1476
ATOMIC_POSITIONS crystal
K 0.0000 0.0000 0.5000
K 0.5000 0.0000 0.0000
Sc 0.0000 0.5000 0.0000
Cr 0.5000 0.5000 0.5000
Ge 0.0000 0.0000 0.0000
```

## Properties
DFT total energy	-3.81	eV per atom
volume	211	Å³/f.u.
ΔH_f (0 K)	0.742	eV/atom
theoretical density	1.952	g/cm³